DFT (PBE) results for a geometry-optimized CuGeNO2 structure.

Cell: 3.9189 3.9189 3.6743 Å, 90.00 90.00 90.00°
With the nearest neighbours (Å) after each atom.
Positions (direct):
1 Cu 0.0000 0.0000 0.0000  2 N 1.84, 4 O 1.96
2 Ge 0.5000 0.5000 0.5000  8 O 2.69, 4 N 2.77
3 N 0.0000 0.0000 0.5000  2 Cu 1.84
4 O 0.0000 0.5000 0.0000  2 Cu 1.96
5 O 0.5000 0.0000 0.0000  2 Cu 1.96

Output
**DFT total energy**: -4.879 eV per atom
**Symmetry**: P4/mmm (123)



DFT (PBE) results for a geometry-optimized Ac3SnIrBr structure.

Cell: 8.5330 4.6827 10.8818 Å, 90.00 111.45 90.00°
With the nearest neighbours (Å) after each atom.
Positions (direct):
1 Ac 0.0272 0.2500 0.3586  3 Ir 2.87-3.14
2 Ac 0.1985 0.2500 0.9874  3 Br 3.15-3.40, 2 Sn 3.47
3 Ac 0.4209 0.7500 0.6144  2 Ir 2.99, 1 Br 3.19
4 Ac 0.5791 0.2500 0.3856  2 Ir 2.99, 1 Br 3.19
5 Ac 0.8015 0.7500 0.0126  3 Br 3.15-3.40, 2 Sn 3.47
6 Ac 0.9728 0.7500 0.6414  3 Ir 2.87-3.14
7 Sn 0.2322 0.7500 0.2307  7 Ac 3.47-3.67
8 Sn 0.7678 0.2500 0.7693  7 Ac 3.47-3.67
9 Ir 0.2162 0.2500 0.6376  5 Ac 2.87-3.14
10 Ir 0.7838 0.7500 0.3624  5 Ac 2.87-3.14
11 Br 0.3733 0.7500 0.8917  5 Ac 3.15-3.51, 2 Br 3.46, 2 Ir 3.49
12 Br 0.6267 0.2500 0.1083  5 Ac 3.15-3.51, 2 Br 3.46, 2 Ir 3.49

Output
**DFT total energy**: -5.273 eV per atom
**Symmetry**: P2_1/m (11)



DFT (PBE) results for a geometry-optimized PrSmGe2 structure.

Cell: 4.0705 5.9801 8.2691 Å, 90.00 90.00 90.00°
With the nearest neighbours (Å) after each atom.
Positions (direct):
1 Pr 0.0000 0.1325 0.0000  7 Ge 3.09-3.34
2 Pr 0.0000 0.8675 0.5000  7 Ge 3.09-3.34
3 Sm 0.5000 0.3677 0.6376  7 Ge 3.08-3.32
4 Sm 0.5000 0.6323 0.1376  7 Ge 3.08-3.32
5 Ge 0.0000 0.3900 0.3580  2 Ge 2.70
6 Ge 0.0000 0.6100 0.8580  2 Ge 2.70
7 Ge 0.5000 0.1145 0.2809  2 Ge 2.70
8 Ge 0.5000 0.8855 0.7809  2 Ge 2.70

Output
**Polymorph energy (0 for the lowest one)**: 2 meV per atom
**Energy of formation**: -0.85 eV/atom
**Symmetry**: Pmc2_1 (26)



DFT (PBE) results for a geometry-optimized BeCrNi2 structure.

Cell: 2.4685 3.4045 4.9491 Å, 90.00 90.69 90.00°
With the nearest neighbours (Å) after each atom.
Positions (direct):
1 Be 0.0000 0.0000 0.0000  8 Ni 2.40-2.43, 2 Be 2.47, 2 Cr 2.47
2 Cr 0.0000 0.0000 0.5000  8 Ni 2.46-2.47, 2 Cr 2.47, 2 Be 2.47
3 Ni 0.4970 0.5000 0.2402  4 Ni 2.38-2.57, 4 Be 2.40-2.43, 4 Cr 2.46-2.47
4 Ni 0.5030 0.5000 0.7598  4 Ni 2.38-2.57, 4 Be 2.40-2.43, 4 Cr 2.46-2.47

Output
**Energy of formation**: -0.07 eV/atom
**Symmetry**: P2/m (10)